[1]
# KHg2Ru | the Alexandria database | PBE-GGA | optimized geometry
data_KHg2Ru
_space_group_name_H-M_alt 'P 1'
_space_group_IT_number 1
_cell_length_a 3.458
_cell_length_b 3.454
_cell_length_c 7.960
_cell_angle_alpha 90.00
_cell_angle_beta 90.00
_cell_angle_gamma 90.00
loop_
_space_group_symop_operation_xyz
'x,y,z'
loop_
_atom_site_label
_atom_site_type_symbol
_atom_site_fract_x
_atom_site_fract_y
_atom_site_fract_z
Ru1 Ru 0.500 0.500 0.750
Hg1 Hg 0.000 0.000 0.562
Hg2 Hg 0.000 0.000 0.938
K1 K 0.500 0.500 0.250
# Energy relative to the elements (eV per atom): 0.405
# Offset from the most stable computed form (meV per atom): 24
# Total moment (μB/atom): 0.111

---

[2]
# K3In2Au4 | the Alexandria database | PBE-GGA | optimized geometry
data_K3In2Au4
_space_group_name_H-M_alt 'P 1'
_space_group_IT_number 1
_cell_length_a 4.757
_cell_length_b 6.586
_cell_length_c 9.554
_cell_angle_alpha 103.64
_cell_angle_beta 90.00
_cell_angle_gamma 111.17
loop_
_space_group_symop_operation_xyz
'x,y,z'
loop_
_atom_site_label
_atom_site_type_symbol
_atom_site_fract_x
_atom_site_fract_y
_atom_site_fract_z
Au1 Au 0.254 0.508 0.917
Au2 Au 0.918 0.836 0.370
Au3 Au 0.082 0.164 0.630
Au4 Au 0.746 0.492 0.083
K1 K 0.000 0.000 0.000
K2 K 0.625 0.250 0.377
K3 K 0.375 0.750 0.623
In1 In 0.317 0.633 0.229
In2 In 0.683 0.367 0.771
# Energy relative to the elements (eV per atom): -0.304
# Offset from the most stable computed form (meV per atom): 0
# Total moment (μB/atom): 0.000

---

[3]
# Ho4Ga12Tc | the Alexandria database | PBE-GGA | optimized geometry
data_Ho4Ga12Tc
_space_group_name_H-M_alt 'P 1'
_space_group_IT_number 1
_cell_length_a 7.462
_cell_length_b 7.462
_cell_length_c 7.462
_cell_angle_alpha 109.47
_cell_angle_beta 109.47
_cell_angle_gamma 109.47
loop_
_space_group_symop_operation_xyz
'x,y,z'
loop_
_atom_site_label
_atom_site_type_symbol
_atom_site_fract_x
_atom_site_fract_y
_atom_site_fract_z
Ga1 Ga 0.500 0.750 0.250
Ga2 Ga 0.750 0.250 0.500
Ga3 Ga 0.250 0.750 0.500
Ga4 Ga 0.000 0.709 0.709
Ga5 Ga 0.709 0.709 0.000
Ga6 Ga 0.291 0.000 0.291
Ga7 Ga 0.709 0.000 0.709
Ga8 Ga 0.000 0.291 0.291
Ga9 Ga 0.750 0.500 0.250
Ga10 Ga 0.291 0.291 0.000
Ga11 Ga 0.500 0.250 0.750
Ga12 Ga 0.250 0.500 0.750
Ho1 Ho 0.000 0.500 0.000
Ho2 Ho 0.500 0.000 0.000
Ho3 Ho 0.000 0.000 0.500
Ho4 Ho 0.500 0.500 0.500
Tc1 Tc 0.000 0.000 0.000
# Energy relative to the elements (eV per atom): -0.532
# Total moment (μB/atom): 0.000

---

[4]
# PaAgSn2N | the Alexandria database | PBE-GGA | optimized geometry
data_PaAgSn2N
_space_group_name_H-M_alt 'P 1'
_space_group_IT_number 1
_cell_length_a 3.880
_cell_length_b 3.880
_cell_length_c 15.855
_cell_angle_alpha 90.00
_cell_angle_beta 90.00
_cell_angle_gamma 90.00
loop_
_space_group_symop_operation_xyz
'x,y,z'
loop_
_atom_site_label
_atom_site_type_symbol
_atom_site_fract_x
_atom_site_fract_y
_atom_site_fract_z
Sn1 Sn 0.000 0.500 0.066
Sn2 Sn 0.500 0.000 0.934
Sn3 Sn 0.500 0.000 0.296
Sn4 Sn 0.000 0.500 0.704
Ag1 Ag 0.000 0.500 0.877
Ag2 Ag 0.500 0.000 0.123
Pa1 Pa 0.500 0.000 0.574
Pa2 Pa 0.000 0.500 0.426
N1 N 0.500 0.500 0.500
N2 N 0.000 0.000 0.500
# Total moment (μB/atom): 0.000
# Formation energy from raw total energies (eV/atom): -0.56

---

[5]
# KDy2PtO5 | the Alexandria database | PBE-GGA | optimized geometry
data_KDy2PtO5
_space_group_name_H-M_alt 'P 1'
_space_group_IT_number 1
_cell_length_a 5.858
_cell_length_b 6.592
_cell_length_c 6.592
_cell_angle_alpha 90.00
_cell_angle_beta 90.00
_cell_angle_gamma 90.00
loop_
_space_group_symop_operation_xyz
'x,y,z'
loop_
_atom_site_label
_atom_site_type_symbol
_atom_site_fract_x
_atom_site_fract_y
_atom_site_fract_z
Dy1 Dy 0.500 0.676 0.176
Dy2 Dy 0.500 0.324 0.824
Dy3 Dy 0.500 0.824 0.676
Dy4 Dy 0.500 0.176 0.324
Pt1 Pt 0.000 0.000 0.500
Pt2 Pt 0.000 0.500 0.000
O1 O 0.263 0.865 0.365
O2 O 0.263 0.365 0.135
O3 O 0.500 0.500 0.500
O4 O 0.737 0.635 0.865
O5 O 0.737 0.365 0.135
O6 O 0.263 0.135 0.635
O7 O 0.263 0.635 0.865
O8 O 0.737 0.865 0.365
O9 O 0.500 0.000 0.000
O10 O 0.737 0.135 0.635
K1 K 0.000 0.000 0.000
K2 K 0.000 0.500 0.500
# Total moment (μB/atom): 0.113
# Formation energy from raw total energies (eV/atom): -2.33

---

[6]
# Sm2GdSb | the Alexandria database | PBE-GGA | optimized geometry
data_Sm2GdSb
_space_group_name_H-M_alt 'P 1'
_space_group_IT_number 1
_cell_length_a 4.830
_cell_length_b 4.874
_cell_length_c 4.874
_cell_angle_alpha 90.00
_cell_angle_beta 90.00
_cell_angle_gamma 90.00
loop_
_space_group_symop_operation_xyz
'x,y,z'
loop_
_atom_site_label
_atom_site_type_symbol
_atom_site_fract_x
_atom_site_fract_y
_atom_site_fract_z
Sm1 Sm 0.000 0.000 0.500
Sm2 Sm 0.000 0.500 0.000
Sb1 Sb 0.500 0.000 0.000
Gd1 Gd 0.500 0.500 0.500
# Offset from the most stable computed form (meV per atom): 0
# Total moment (μB/atom): 1.850
# Formation energy from raw total energies (eV/atom): -0.53

---

[7]
# KCu4 | the Alexandria database | PBE-GGA | optimized geometry
data_KCu4
_space_group_name_H-M_alt 'P 1'
_space_group_IT_number 1
_cell_length_a 4.970
_cell_length_b 4.970
_cell_length_c 4.970
_cell_angle_alpha 90.00
_cell_angle_beta 90.00
_cell_angle_gamma 90.00
loop_
_space_group_symop_operation_xyz
'x,y,z'
loop_
_atom_site_label
_atom_site_type_symbol
_atom_site_fract_x
_atom_site_fract_y
_atom_site_fract_z
Cu1 Cu 0.000 0.500 0.500
Cu2 Cu 0.000 0.000 0.000
Cu3 Cu 0.500 0.500 0.000
Cu4 Cu 0.500 0.000 0.500
K1 K 0.500 0.500 0.500
# Energy relative to the elements (eV per atom): 1.884
# Offset from the most stable computed form (meV per atom): 1509
# Total moment (μB/atom): 0.000

---

[8]
# MnIn2 | the Alexandria database | PBE-GGA | optimized geometry
data_MnIn2
_space_group_name_H-M_alt 'P 1'
_space_group_IT_number 1
_cell_length_a 5.468
_cell_length_b 5.468
_cell_length_c 8.013
_cell_angle_alpha 83.66
_cell_angle_beta 83.66
_cell_angle_gamma 32.82
loop_
_space_group_symop_operation_xyz
'x,y,z'
loop_
_atom_site_label
_atom_site_type_symbol
_atom_site_fract_x
_atom_site_fract_y
_atom_site_fract_z
Mn1 Mn 0.255 0.255 0.902
Mn2 Mn 0.899 0.899 0.679
In1 In 0.970 0.970 0.002
In2 In 0.678 0.678 0.205
In3 In 0.400 0.400 0.386
In4 In 0.631 0.631 0.659
# Energy relative to the elements (eV per atom): 0.228
# Total moment (μB/atom): 1.087